# 1
## Tb2Dy2Tm2Th (PBE-GGA)

Data for crystalline Tb2Dy2Tm2Th at its relaxed geometry.

As for the volume: 31.43 Å³/atom. As for the crystal system: monoclinic. Its space group is C2/m. The energy of formation from the pure elements is 0.03 eV/atom. For the density of states at the Fermi level, the calculation gives 8.946 states/eV/f.u. The calculation puts the total energy at -4.942 eV per atom.

a = 5.0184 Å, b = 9.3548 Å, c = 12.7603 Å
α = 152.95°, β = 90.00°, γ = 105.56°
Closest atoms and distances in Å follow each position.
Fractional positions:
Tb 0.1471 0.2942 0.0763  4 Dy 3.50-3.55, 2 Th 3.52, 5 Tm 3.53-3.58, 1 Tb 3.58
Tb 0.8529 0.7058 0.9237  4 Dy 3.50-3.55, 2 Th 3.52, 5 Tm 3.53-3.58, 1 Tb 3.58
Dy 0.4299 0.8598 0.2172  4 Tb 3.50-3.55, 3 Th 3.53-3.56, 3 Tm 3.54-3.56, 2 Dy 3.55
Dy 0.5701 0.1402 0.7828  4 Tb 3.50-3.55, 3 Th 3.53-3.56, 3 Tm 3.54-3.56, 2 Dy 3.55
Tm 0.7135 0.4271 0.3546  3 Tm 3.51-3.57, 1 Th 3.52, 5 Tb 3.53-3.58, 3 Dy 3.54-3.56
Tm 0.2865 0.5729 0.6454  3 Tm 3.51-3.57, 1 Th 3.52, 5 Tb 3.53-3.58, 3 Dy 3.54-3.56
Th 0.0000 0.0000 0.5000  2 Tm 3.52, 4 Tb 3.52, 6 Dy 3.53-3.56

=====

# 2
## Ac3Zn2RhO9 (PBE-GGA)

Data for crystalline Ac3Zn2RhO9 at its relaxed geometry.

As for the volume: 13.16 Å³/atom. As for the crystal system: trigonal. For the raw formation energy, the calculation gives -2166 meV per atom. Its space group is P-3m1. For the density of states at the Fermi level, the calculation gives 9.319 states/eV/f.u. The calculation puts the total energy at -6.622 eV per atom.

a = 5.7049 Å, b = 5.7049 Å, c = 7.0026 Å
α = 90.00°, β = 90.00°, γ = 120.00°
Closest atoms and distances in Å follow each position.
Fractional positions:
Ac 0.3333 0.6667 0.6872  12 O 2.74-2.99
Ac 0.0000 0.0000 0.0000  12 O 2.84-2.85
Ac 0.6667 0.3333 0.3128  12 O 2.74-2.99
Zn 0.3333 0.6667 0.1645  6 O 2.01-2.06
Zn 0.6667 0.3333 0.8355  6 O 2.01-2.06
Rh 0.0000 0.0000 0.5000  6 O 1.98
O 0.8373 0.1627 0.6654  1 Rh 1.98, 1 Zn 2.06
O 0.8373 0.6746 0.6654  1 Rh 1.98, 1 Zn 2.06
O 0.3254 0.1627 0.6654  1 Rh 1.98, 1 Zn 2.06
O 0.6746 0.8373 0.3346  1 Rh 1.98, 1 Zn 2.06
O 0.1627 0.3254 0.3346  1 Rh 1.98, 1 Zn 2.06
O 0.1627 0.8373 0.3346  1 Rh 1.98, 1 Zn 2.06
O 0.5000 0.0000 0.0000  2 Zn 2.01
O 0.0000 0.5000 0.0000  2 Zn 2.01
O 0.5000 0.5000 0.0000  2 Zn 2.01

=====

# 3
## CdPtSe2 (PBE-GGA)

Data for crystalline CdPtSe2 at its relaxed geometry.

As for the volume: 25.82 Å³/atom. As for the crystal system: tetragonal. For the raw formation energy, the calculation gives 137 meV per atom. Its space group is I-4m2. For the density of states at the Fermi level, the calculation gives 3.521 states/eV/f.u. The calculation puts the total energy at -3.345 eV per atom.

a = 8.0437 Å, b = 8.0437 Å, c = 8.0437 Å
α = 153.52°, β = 153.52°, γ = 37.79°
Closest atoms and distances in Å follow each position.
Fractional positions:
Cd 0.5000 0.5000 0.0000  4 Se 2.61
Pt 0.7500 0.2500 0.5000  4 Se 2.61
Se 0.0000 0.0000 0.0000  4 Cd 2.61
Se 0.2500 0.7500 0.5000  4 Pt 2.61

=====

# 4
## YCl2 (PBE-GGA)

Data for crystalline YCl2 at its relaxed geometry.

As for the volume: 25.96 Å³/atom. As for the crystal system: orthorhombic. For the raw formation energy, the calculation gives -1897 meV per atom. Its space group is Pnma. For the density of states at the Fermi level, the calculation gives 1.695 states/eV/f.u. The calculation puts the total energy at -5.283 eV per atom.

a = 5.3966 Å, b = 5.3971 Å, c = 10.6967 Å
α = 90.00°, β = 90.00°, γ = 90.00°
Closest atoms and distances in Å follow each position.
Fractional positions:
Y 0.2500 0.5005 0.3750  6 Cl 2.70-2.77
Y 0.7500 0.9995 0.8750  6 Cl 2.70-2.77
Y 0.2500 0.0005 0.1250  6 Cl 2.70-2.77
Y 0.7500 0.4995 0.6250  6 Cl 2.70-2.77
Cl 0.2500 0.0000 0.8662  3 Y 2.70-2.77
Cl 0.7500 0.5000 0.3662  3 Y 2.70-2.77
Cl 0.2500 0.5000 0.6338  3 Y 2.70-2.77
Cl 0.7500 0.0000 0.1338  3 Y 2.70-2.77
Cl 0.2500 0.0004 0.3838  3 Y 2.70-2.77
Cl 0.7500 0.4996 0.8838  3 Y 2.70-2.77
Cl 0.2500 0.5004 0.1162  3 Y 2.70-2.77
Cl 0.7500 0.9996 0.6162  3 Y 2.70-2.77

=====

# 5
## LaRhSe2 (PBE-GGA)

Data for crystalline LaRhSe2 at its relaxed geometry.

Its offset from the most stable computed form is 15 meV/atom. As for the volume: 22.06 Å³/atom. As for the crystal system: orthorhombic. For the raw formation energy, the calculation gives -1124 meV per atom. Its space group is Immm. For the density of states at the Fermi level, the calculation gives 0.734 states/eV/f.u. The calculation puts the total energy at -5.936 eV per atom.

a = 5.1946 Å, b = 5.1946 Å, c = 5.6684 Å
α = 56.86°, β = 56.86°, γ = 45.80°
Closest atoms and distances in Å follow each position.
Fractional positions:
La 0.7500 0.7500 0.7500  8 Se 3.11-3.20, 4 Rh 3.48
Rh 0.2500 0.2500 0.2500  4 Se 2.51
Se 0.9433 0.9433 0.0566  2 Rh 2.51
Se 0.5567 0.5567 0.4434  2 Rh 2.51

=====

# 6
## InCu2Te (PBE-GGA)

Data for crystalline InCu2Te at its relaxed geometry.

Its offset from the most stable computed form is 55 meV/atom. As for the volume: 20.66 Å³/atom. As for the crystal system: monoclinic. For the raw formation energy, the calculation gives 110 meV per atom. Its space group is C2/m. For the density of states at the Fermi level, the calculation gives 0.733 states/eV/f.u. The calculation puts the total energy at -3.408 eV per atom.

a = 3.9870 Å, b = 3.9870 Å, c = 6.4299 Å
α = 73.20°, β = 73.20°, γ = 58.99°
Closest atoms and distances in Å follow each position.
Fractional positions:
Cu 0.9938 0.9938 0.0144  3 Te 2.69-2.70, 3 In 2.77-2.81
Cu 0.5062 0.5062 0.4856  3 Te 2.69-2.70, 3 In 2.77-2.81
In 0.7500 0.7500 0.7500  6 Cu 2.77-2.81
Te 0.2500 0.2500 0.2500  6 Cu 2.69-2.70